1.
Density functional theory data (PBE) for an optimized crystal structure of CrCd2Au8.

Results
magnetization: 4.0 μB/cell
formation energy from the elements: -0.0619 eV/atom

The structure in POSCAR format:
```
CrCd2Au8
1.0
-2.894 -2.506 1.688
3.525 -5.345 -1.892
3.876 3.063 6.008
Cr Cd Au
1 2 8
direct
0.500 0.000 0.000 Cr
0.223 0.646 0.447 Cd
0.777 0.354 0.553 Cd
0.591 0.445 0.182 Au
0.324 0.091 0.647 Au
0.136 0.179 0.271 Au
0.041 0.732 0.083 Au
0.864 0.821 0.729 Au
0.676 0.909 0.353 Au
0.409 0.555 0.818 Au
0.959 0.268 0.917 Au
```


2.
Density functional theory data (PBE) for an optimized crystal structure of Cr2CdAu.

Results
magnetization: 0.0 μB/cell
formation energy from the elements: 0.6057 eV/atom

The structure in POSCAR format:
```
Cr2CdAu
1.0
5.050 0.001 0.000
-2.204 4.543 0.000
0.000 0.001 2.678
Au Cd Cr
1 1 2
direct
0.500 0.000 0.500 Au
0.000 0.500 0.500 Cd
0.000 0.000 0.000 Cr
0.500 0.500 0.000 Cr
```


3.
Density functional theory data (PBE) for an optimized crystal structure of CrCd3Au.

Results
magnetization: 5.0 μB/cell
formation energy from the elements: 0.5626 eV/atom

The structure in POSCAR format:
```
CrCd3Au
1.0
5.249 0.000 0.000
0.000 5.249 0.000
0.000 0.000 5.249
Cr Au Cd
1 1 3
direct
0.500 0.500 0.500 Cr
0.000 0.000 0.000 Au
0.000 0.500 0.000 Cd
0.000 0.000 0.500 Cd
0.500 0.000 0.000 Cd
```


4.
Density functional theory data (PBE) for an optimized crystal structure of Cr2CdAu.

Results
magnetization: 0.1 μB/cell
formation energy from the elements: 0.1642 eV/atom

The structure in POSCAR format:
```
Cr2CdAu
1.0
-2.711 1.071 -0.998
0.808 -0.656 -2.900
-2.732 -6.295 0.663
Au Cd Cr
1 1 2
direct
0.000 0.000 0.474 Au
0.500 0.500 0.764 Cd
0.000 0.000 0.050 Cr
0.500 0.500 0.212 Cr
```